# 1
A plane-wave DFT calculation with GGA-PBEsol was carried out for a relaxed BaTa2Ni crystal.

Unit cell a=3.1389 b=3.1389 c=8.5214 alpha=90.00 beta=90.00 gamma=90.00
Last column: nearest neighbours and their distance in Å.
Space group P4mm (No. 99)
One atom of each set of equivalent atoms:
Ba (0.0000, 0.0000, 0.0000) [1 per cell]  4 Ba 3.14, 4 Ni 3.34
Ta (0.0000, 0.0000, 0.4334) [1 per cell]  4 Ni 2.52
Ta (0.5000, 0.5000, 0.6486) [1 per cell]  8 Ta 2.88-3.14, 1 Ni 3.03
Ni (0.5000, 0.5000, 0.2925) [1 per cell]  4 Ta 2.52

Properties
total magnetic moment	0.000	Bohr magnetons per cell
ΔH_f (0 K)	0.405	eV per atom
excess energy over the best structure of this formula in the dataset	0	meV per atom

=====

# 2
A plane-wave DFT calculation with GGA-PBEsol was carried out for a relaxed CoTcSb2 crystal.

Unit cell a=3.0375 b=3.0375 c=29.2374 alpha=90.00 beta=90.00 gamma=120.00
Last column: nearest neighbours and their distance in Å.
Space group R3m (No. 160, hexagonal axes)
One atom of each set of equivalent atoms:
Co (0.0000, 0.0000, 0.0000) [3 per cell]  3 Tc 2.53, 3 Sb 2.64
Tc (0.0000, 0.0000, 0.7293) [3 per cell]  3 Co 2.53, 3 Sb 2.75
Sb (0.0000, 0.0000, 0.2658) [3 per cell]  3 Co 2.64
Sb (0.0000, 0.0000, 0.4686) [3 per cell]  3 Tc 2.75, 6 Sb 3.04

Properties
formation energy from raw total energies	38.28	kJ per mole of atoms
total magnetic moment	3.676	Bohr magnetons per cell
excess energy over the best structure of this formula in the dataset	213	meV per atom

=====

# 3
A plane-wave DFT calculation with GGA-PBEsol was carried out for a relaxed Li2MgZn crystal.

Unit cell a=3.2182 b=3.2182 c=6.4091 alpha=90.00 beta=90.00 gamma=90.00
Last column: nearest neighbours and their distance in Å.
Space group P4/mmm (No. 123)
One atom of each set of equivalent atoms:
Li (0.0000, 0.0000, 0.2156) [2 per cell]  4 Zn 2.66, 1 Li 2.76, 4 Mg 2.92
Mg (0.5000, 0.5000, 0.5000) [1 per cell]  8 Li 2.92, 2 Zn 3.20, 4 Mg 3.22
Zn (0.5000, 0.5000, 0.0000) [1 per cell]  8 Li 2.66

Properties
total magnetic moment	0.000	Bohr magnetons per cell
ΔH_f (0 K)	-0.089	eV per atom

=====

# 4
A plane-wave DFT calculation with GGA-PBEsol was carried out for a relaxed Tc3BP crystal.

Unit cell a=4.0191 b=4.0191 c=4.0191 alpha=90.00 beta=90.00 gamma=90.00
Last column: nearest neighbours and their distance in Å.
Space group Pm-3m (No. 221)
One atom of each set of equivalent atoms:
Tc (0.0000, 0.0000, 0.5000) [3 per cell]  2 B 2.01
B (0.0000, 0.0000, 0.0000) [1 per cell]  6 Tc 2.01
P (0.5000, 0.5000, 0.5000) [1 per cell]  12 Tc 2.84

Properties
total magnetic moment	1.711	Bohr magnetons per cell
ΔH_f (0 K)	0.374	eV per atom

=====

Q: total magnetic moment of number 2 (CoTcSb2)?
A: 3.676 Bohr magnetons per cell